Fe2NiAuF | GGA+U | relaxed

Cell and atoms, written as extended XYZ:
```
5
Lattice="4.030 0.000 0.000 0.000 4.030 0.000 0.000 0.000 4.934" Properties=species:S:1:pos:R:3 pbc="T T T"
Fe 0.000 2.015 0.000
Fe 2.015 0.000 0.000
Ni 0.000 0.000 2.467
Au 2.015 2.015 2.467
F 2.015 2.015 0.000
```

Results
Fermi-level density of states, states/eV/cell: 2.4
DFT total energy, eV/atom: -3.292